VASP calculation (PBE-GGA) on ReAgOs2Br after structural relaxation.

Space-group type = P4/mmm (123)
Uncorrected formation energy = 3.245 eV/atom
Spin magnetization = 7.312 μB/f.u.
Crystal system = tetragonal

Lattice parameters (Å, degrees): 4.951 4.951 4.704 90.00 90.00 90.00
Fractional positions:
Re 0.000 0.000 0.000
Ag 0.500 0.500 0.500
Os 0.000 0.500 0.500
Os 0.500 0.000 0.500
Br 0.500 0.500 0.000